A geometry-optimized TiAlMoAu structure, computed with PBE-GGA.

Calculated values
- M_tot: 0.00 Bohr magnetons per cell
- Polymorph energy (0 for the lowest one): 141 meV per atom
- Fermi-level density of states: 0.503 states/eV per atom

abc: 6.321 6.321 6.321
angles: 90.00 90.00 90.00
Space group F-43m (No. 216)
Inequivalent atoms, fractional coordinates:
Ti (0.000, 0.000, 0.000) (multiplicity 4)
Al (0.000, 0.000, 0.500) (multiplicity 4)
Mo (0.250, 0.250, 0.750) (multiplicity 4)
Au (0.250, 0.250, 0.250) (multiplicity 4)